A plane-wave DFT calculation with GGA-PBE was carried out for crystalline MnCoGe at its relaxed geometry.

a b c (Å): 3.885 3.885 3.885
angles (deg): 60.00 60.00 60.00
Last column: magnetic moment on the atom in μB.
Fractional positions:
Co: 0.250 0.250 0.250  -0.26
Ge: 0.500 0.500 0.500  -0.12
Mn: 0.000 0.000 0.000  2.37

Properties
The total DFT energy (no corrections) is -21.1 eV/cell. As for the density of states at the Fermi level: 1.08 states/eV/atom. The calculation puts the volume at 41.5 Å³/cell. As for the space-group type: F-43m (216). Its magnetization is 2.0 μB/cell. For the energy of formation, the calculation gives -53 meV/atom.



A plane-wave DFT calculation with GGA-PBE was carried out for crystalline SmEr2P at its relaxed geometry.

a b c (Å): 3.714 3.714 10.368
angles (deg): 79.68 79.68 60.00
Last column: magnetic moment on the atom in μB.
Fractional positions:
Er: 0.886 0.886 0.341  0.10
Er: 0.114 0.114 0.659  0.10
P: 0.500 0.500 0.500  0.00
Sm: 0.000 0.000 0.000  0.33

Properties
The total DFT energy (no corrections) is -21.3 eV/cell. As for the density of states at the Fermi level: 1.02 states/eV/atom. The calculation puts the volume at 121.2 Å³/cell. As for the space-group type: R-3m (166). Its magnetization is 1.0 μB/cell. For the energy of formation, the calculation gives -518 meV/atom.



A plane-wave DFT calculation with GGA-PBE was carried out for crystalline BaZr3 at its relaxed geometry.

a b c (Å): 6.508 6.508 6.508
angles (deg): 151.11 124.94 63.36
Fractional positions:
Zr: 0.447 0.765 0.681
Zr: 0.481 0.500 0.981
Zr: 0.916 0.235 0.681
Ba: 0.990 0.000 0.990

Properties
The total DFT energy (no corrections) is -25.4 eV/cell. As for the density of states at the Fermi level: 1.05 states/eV/atom. The calculation puts the volume at 108.2 Å³/cell. As for the space-group type: Imm2 (44). Its magnetization is 0.0 μB/cell. For the energy of formation, the calculation gives 551 meV/atom.



Among the records above, which one has the highest total DFT energy (no corrections)?
MnCoGe



Please write out number 3 again, unchanged.
A plane-wave DFT calculation with GGA-PBE was carried out for crystalline BaZr3 at its relaxed geometry.

a b c (Å): 6.508 6.508 6.508
angles (deg): 151.11 124.94 63.36
Fractional positions:
Zr: 0.447 0.765 0.681
Zr: 0.481 0.500 0.981
Zr: 0.916 0.235 0.681
Ba: 0.990 0.000 0.990

Properties
The total DFT energy (no corrections) is -25.4 eV/cell. As for the density of states at the Fermi level: 1.05 states/eV/atom. The calculation puts the volume at 108.2 Å³/cell. As for the space-group type: Imm2 (44). Its magnetization is 0.0 μB/cell. For the energy of formation, the calculation gives 551 meV/atom.